# BeAs2Pt GGA-PBE optimized geometry
# Calculated total energy in Ry/atom: -0.36141
# ΔH_f (0 K) in eV/atom: -0.151
data_BeAs2Pt
_chemical_formula_sum 'Be2 As4 Pt2'
_cell_length_a 7.071
_cell_length_b 3.789
_cell_length_c 6.550
_cell_angle_alpha 90.00
_cell_angle_beta 122.20
_cell_angle_gamma 90.00
_symmetry_space_group_name_H-M 'C 1 m 1'
_symmetry_Int_Tables_number 8
_symmetry_space_group_name_Hall 'C -2y'
loop_
_atom_site_label
_atom_site_type_symbol
_atom_site_fract_x
_atom_site_fract_y
_atom_site_fract_z
Be1 Be 0.000 0.000 0.000
As1 As 0.011 0.500 0.740
As2 As 0.267 0.500 0.259
Pt1 Pt 0.323 0.000 0.000



# Sr2CaCdRh GGA-PBE optimized geometry
# Calculated total energy in Ry/atom: -0.21492
# Relative energy among the computed polymorphs in meV per atom: 0
# ΔH_f (0 K) in eV/atom: -0.198
data_Sr2CaCdRh
_chemical_formula_sum 'Sr2 Ca1 Cd1 Rh1'
_cell_length_a 5.808
_cell_length_b 5.808
_cell_length_c 5.457
_cell_angle_alpha 90.00
_cell_angle_beta 90.00
_cell_angle_gamma 90.00
_symmetry_space_group_name_H-M 'P 4/m m m'
_symmetry_Int_Tables_number 123
_symmetry_space_group_name_Hall '-P 4 2'
loop_
_atom_site_label
_atom_site_type_symbol
_atom_site_fract_x
_atom_site_fract_y
_atom_site_fract_z
Sr1 Sr 0.000 0.500 0.000
Ca1 Ca 0.000 0.000 0.500
Cd1 Cd 0.500 0.500 0.500
Rh1 Rh 0.000 0.000 0.000



# PmMgAlPd GGA-PBE optimized geometry
# Calculated total energy in Ry/atom: -0.31705
# ΔH_f (0 K) in eV/atom: -0.494
data_PmMgAlPd
_chemical_formula_sum 'Pm4 Mg4 Al4 Pd4'
_cell_length_a 6.951
_cell_length_b 6.951
_cell_length_c 6.951
_cell_angle_alpha 90.00
_cell_angle_beta 90.00
_cell_angle_gamma 90.00
_symmetry_space_group_name_H-M 'F -4 3 m'
_symmetry_Int_Tables_number 216
_symmetry_space_group_name_Hall 'F -4 2 3'
loop_
_atom_site_label
_atom_site_type_symbol
_atom_site_fract_x
_atom_site_fract_y
_atom_site_fract_z
Pm1 Pm 0.000 0.000 0.000
Mg1 Mg 0.000 0.000 0.500
Al1 Al 0.250 0.250 0.250
Pd1 Pd 0.250 0.250 0.750



# CaScPb2 GGA-PBE optimized geometry
# Calculated total energy in Ry/atom: -0.28999
# ΔH_f (0 K) in eV/atom: -0.008
data_CaScPb2
_chemical_formula_sum 'Ca4 Sc4 Pb8'
_cell_length_a 7.781
_cell_length_b 7.781
_cell_length_c 7.781
_cell_angle_alpha 90.00
_cell_angle_beta 90.00
_cell_angle_gamma 90.00
_symmetry_space_group_name_H-M 'F -4 3 m'
_symmetry_Int_Tables_number 216
_symmetry_space_group_name_Hall 'F -4 2 3'
loop_
_atom_site_label
_atom_site_type_symbol
_atom_site_fract_x
_atom_site_fract_y
_atom_site_fract_z
Ca1 Ca 0.000 0.000 0.000
Sc1 Sc 0.250 0.250 0.250
Pb1 Pb 0.000 0.000 0.500
Pb2 Pb 0.250 0.250 0.750



# HfSiSbPt2 GGA-PBE optimized geometry
# Raw formation energy in eV/atom: 0.91
# Calculated total energy in Ry/atom: -0.39745
data_HfSiSbPt2
_chemical_formula_sum 'Hf1 Si1 Sb1 Pt2'
_cell_length_a 4.866
_cell_length_b 4.866
_cell_length_c 5.328
_cell_angle_alpha 90.00
_cell_angle_beta 90.00
_cell_angle_gamma 90.00
_symmetry_space_group_name_H-M 'P 4/m m m'
_symmetry_Int_Tables_number 123
_symmetry_space_group_name_Hall '-P 4 2'
loop_
_atom_site_label
_atom_site_type_symbol
_atom_site_fract_x
_atom_site_fract_y
_atom_site_fract_z
Hf1 Hf 0.000 0.000 0.000
Si1 Si 0.500 0.500 0.000
Sb1 Sb 0.000 0.000 0.500
Pt1 Pt 0.000 0.500 0.500



# BaTaAg2P GGA-PBE optimized geometry
# Calculated total energy in Ry/atom: -0.26366
# ΔH_f (0 K) in eV/atom: 1.390
data_BaTaAg2P
_chemical_formula_sum 'Ba1 Ta1 Ag2 P1'
_cell_length_a 5.104
_cell_length_b 5.104
_cell_length_c 6.204
_cell_angle_alpha 90.00
_cell_angle_beta 90.00
_cell_angle_gamma 90.00
_symmetry_space_group_name_H-M 'P 4/m m m'
_symmetry_Int_Tables_number 123
_symmetry_space_group_name_Hall '-P 4 2'
loop_
_atom_site_label
_atom_site_type_symbol
_atom_site_fract_x
_atom_site_fract_y
_atom_site_fract_z
Ba1 Ba 0.000 0.000 0.000
Ta1 Ta 0.000 0.000 0.500
Ag1 Ag 0.000 0.500 0.500
P1 P 0.500 0.500 0.000



# Sr5Re4 GGA-PBE optimized geometry
# Calculated total energy in Ry/atom: -0.40585
# Relative energy among the computed polymorphs in meV per atom: 0
# ΔH_f (0 K) in eV/atom: 0.945
data_Sr5Re4
_chemical_formula_sum 'Sr10 Re8'
_cell_length_a 10.466
_cell_length_b 10.466
_cell_length_c 4.612
_cell_angle_alpha 90.00
_cell_angle_beta 90.00
_cell_angle_gamma 90.00
_symmetry_space_group_name_H-M 'I 4/m m m'
_symmetry_Int_Tables_number 139
_symmetry_space_group_name_Hall '-I 4 2'
loop_
_atom_site_label
_atom_site_type_symbol
_atom_site_fract_x
_atom_site_fract_y
_atom_site_fract_z
Sr1 Sr 0.000 0.000 0.000
Sr2 Sr 0.176 0.176 0.500
Re1 Re 0.000 0.390 0.000



# ZrSc2Tc GGA-PBE optimized geometry
# Calculated total energy in Ry/atom: -0.55775
# Relative energy among the computed polymorphs in meV per atom: 479
# ΔH_f (0 K) in eV/atom: 0.306
data_ZrSc2Tc
_chemical_formula_sum 'Zr4 Sc8 Tc4'
_cell_length_a 7.758
_cell_length_b 7.758
_cell_length_c 5.735
_cell_angle_alpha 90.00
_cell_angle_beta 90.00
_cell_angle_gamma 90.00
_symmetry_space_group_name_H-M 'I -4 2 d'
_symmetry_Int_Tables_number 122
_symmetry_space_group_name_Hall 'I -4 2bw'
loop_
_atom_site_label
_atom_site_type_symbol
_atom_site_fract_x
_atom_site_fract_y
_atom_site_fract_z
Zr1 Zr 0.000 0.000 0.000
Sc1 Sc 0.197 0.250 0.625
Tc1 Tc 0.000 0.000 0.500



> Which of these has the highest calculated total energy?

Sr2CaCdRh



> Which of these has the lowest calculated total energy?

ZrSc2Tc